Record 1
Entry from the Alexandria database: a relaxed Ho2PuAu3 crystal (PBE).

Cell lengths 3.539, 3.539, 11.008 Å; angles 90.00, 90.00, 90.00 degrees
Space group P4/mmm (No. 123)
Inequivalent atoms, fractional coordinates:
Ho  0.000  0.000  0.165 (multiplicity 2)
Pu  0.000  0.000  0.500 (multiplicity 1)
Au  0.500  0.500  0.000 (multiplicity 1)
Au  0.500  0.500  0.326 (multiplicity 2)



Record 2
Entry from the Alexandria database: a relaxed MgZn2PC crystal (PBE).

Cell lengths 4.533, 4.533, 4.836 Å; angles 90.00, 90.00, 90.00 degrees
Space group P4/mmm (No. 123)
Inequivalent atoms, fractional coordinates:
Mg  0.000  0.000  0.000 (multiplicity 1)
Zn  0.000  0.500  0.500 (multiplicity 2)
P  0.000  0.000  0.500 (multiplicity 1)
C  0.500  0.500  0.000 (multiplicity 1)



Record 3
Entry from the Alexandria database: a relaxed Ti4Fe crystal (PBE).

**Energy above the lowest structure with this stoichiometry**: 0.000 eV per formula unit

Cell lengths 10.110, 3.012, 7.151 Å; angles 90.00, 134.93, 90.00 degrees
Space group C2/m (No. 12)
Inequivalent atoms, fractional coordinates:
Ti  0.087  0.000  0.364 (multiplicity 4)
Ti  0.224  0.500  0.811 (multiplicity 4)
Fe  0.000  0.500  0.000 (multiplicity 2)



Record 4
Entry from the Alexandria database: a relaxed Ac4Mg3Sn5 crystal (PBE).

Cell lengths 13.556, 5.150, 13.320 Å; angles 90.00, 120.39, 90.00 degrees
Space group C2/m (No. 12)
Inequivalent atoms, fractional coordinates:
Ac  0.138  0.000  0.002 (multiplicity 4)
Ac  0.211  0.000  0.344 (multiplicity 4)
Mg  0.000  0.000  0.500 (multiplicity 2)
Mg  0.071  0.500  0.742 (multiplicity 4)
Sn  0.000  0.500  0.500 (multiplicity 2)
Sn  0.055  0.500  0.138 (multiplicity 4)
Sn  0.200  0.000  0.783 (multiplicity 4)



Short version: raw total energy = -35.15; -12.32; -81.50; -91.12 eV for the cell shown, in the order given.